1.
5
Lattice="5.537 0.000 0.000 0.000 5.537 0.000 0.000 0.000 5.667" Properties=species:S:1:pos:R:3 comment="HgTe2AuI (PBE, optimized geometry)" e_above_lowest_polymorph_ev_per_atom=0.000 sg="No. 123" e_form_raw_ev_per_fu=1.9 final_energy_ev_per_fu=-9.48 n_ef_per_ev_cell=7.70 pbc="T T T"
Hg 0.000 0.000 0.000
Te 0.000 2.768 2.834
Te 2.768 0.000 2.834
Au 2.768 2.768 2.834
I 2.768 2.768 0.000

---

2.
5
Lattice="5.715 0.000 0.000 0.000 5.715 0.000 0.000 0.000 5.602" Properties=species:S:1:pos:R:3 comment="HgTeAuI2 (PBE, optimized geometry)" e_above_lowest_polymorph_ev_per_atom=0.000 sg="No. 123" e_form_raw_ev_per_fu=1.3 final_energy_ev_per_fu=-8.54 n_ef_per_ev_cell=4.38 pbc="T T T"
Hg 0.000 0.000 0.000
Te 2.857 2.857 0.000
Au 2.857 2.857 2.801
I 0.000 2.857 2.801
I 2.857 0.000 2.801

---

3.
5
Lattice="5.414 0.000 0.000 0.000 5.414 0.000 0.000 0.000 5.245" Properties=species:S:1:pos:R:3 comment="TiHgAu2I (PBE, optimized geometry)" sg="No. 123" e_form_raw_ev_per_fu=4.2 final_energy_ev_per_fu=-12.09 n_ef_per_ev_cell=5.39 pbc="T T T"
Ti 0.000 0.000 0.000
Hg 2.707 2.707 0.000
Au 0.000 2.707 2.622
Au 2.707 0.000 2.622
I 0.000 0.000 2.622

---

4.
5
Lattice="5.763 0.000 0.000 0.000 5.763 0.000 0.000 0.000 5.386" Properties=species:S:1:pos:R:3 comment="Tl2HgAuI (PBE, optimized geometry)" sg="No. 123" e_form_raw_ev_per_fu=-1.1 final_energy_ev_per_fu=-10.97 n_ef_per_ev_cell=1.74 pbc="T T T"
Tl 0.000 2.881 0.000
Tl 2.881 0.000 0.000
Hg 0.000 0.000 2.693
Au 0.000 0.000 0.000
I 2.881 2.881 2.693

---

5.
10
Lattice="7.413 0.000 0.000 3.187 6.709 0.000 3.382 2.062 8.782" Properties=species:S:1:pos:R:3 comment="Tl2HgAuI6 (PBE, optimized geometry)" sg="No. 1" e_form_raw_ev_per_fu=-3.3 final_energy_ev_per_fu=-20.95 n_ef_per_ev_cell=2.94 pbc="T T T"
Tl 0.000 0.000 0.000
Tl 6.267 3.846 5.719
Hg 3.140 1.912 2.858
Au 10.126 6.305 7.247
I 4.930 5.378 8.635
I 7.908 7.234 5.861
I 5.284 3.262 2.054
I 10.238 8.706 8.636
I 10.013 3.905 5.857
I 11.595 7.271 3.659

---

6.
18
Lattice="2.293 -10.362 0.000 2.293 10.362 0.000 0.000 0.000 14.661" Properties=species:S:1:pos:R:3 comment="Tl2HgAuI5 (PBE, optimized geometry)" sg="No. 36" e_form_raw_ev_per_fu=-3.2 final_energy_ev_per_fu=-19.25 pbc="T T T"
Tl 2.293 7.804 7.331
Tl 2.293 7.716 1.672
Tl 2.293 -7.716 9.003
Tl 2.293 -7.804 0.000
Hg 2.293 5.959 11.892
Hg 2.293 -5.959 4.562
Au 2.293 0.900 3.157
Au 2.293 -0.900 10.488
I 2.293 9.014 11.958
I 2.293 4.289 6.692
I 2.293 4.223 2.401
I 2.293 3.025 11.841
I 2.293 0.106 7.993
I 2.293 -0.106 0.663
I 2.293 -3.025 4.510
I 2.293 -4.223 9.732
I 2.293 -4.289 14.023
I 2.293 -9.014 4.627

---

7.
4
Lattice="-1.820 2.201 6.381 1.820 -2.201 6.381 1.820 2.201 -6.381" Properties=species:S:1:pos:R:3 comment="InHg2Au (PBE, optimized geometry)" delta_e_f_mev_per_atom=3.5 sg="No. 71" final_energy_ev_per_fu=-6.61 n_ef_per_ev_cell=1.41 pbc="T T T"
In 0.000 0.000 0.000
Hg 1.820 0.000 3.805
Hg 0.000 2.201 2.577
Au 0.000 0.000 6.381

---

8.
3
Lattice="4.169 0.000 0.000 -2.084 3.610 0.000 0.000 0.000 5.055" Properties=species:S:1:pos:R:3 comment="InHgAu (PBE, optimized geometry)" delta_e_f_mev_per_atom=-39.2 sg="No. 156" final_energy_ev_per_fu=-6.44 n_ef_per_ev_cell=1.33 pbc="T T T"
In 0.000 0.000 0.000
Hg 2.084 1.203 3.109
Au 0.000 2.407 1.474

---

9.
4
Lattice="-2.236 2.236 4.607 2.236 -2.236 4.607 2.236 2.236 -4.607" Properties=species:S:1:pos:R:3 comment="InHg2Au (PBE, optimized geometry)" delta_e_f_mev_per_atom=52.8 sg="No. 139" final_energy_ev_per_fu=-6.41 n_ef_per_ev_cell=1.37 pbc="T T T"
In 0.000 0.000 0.000
Hg 2.236 0.000 2.304
Hg 0.000 2.236 2.304
Au 0.000 0.000 4.607

---

10.
20
Lattice="5.713 0.000 0.000 0.113 6.947 0.000 2.684 3.401 10.969" Properties=species:S:1:pos:R:3 comment="In2Hg3Au5 (PBE, optimized geometry)" delta_e_f_mev_per_atom=-54.4 sg="No. 2" final_energy_ev_per_fu=-23.31 n_ef_per_ev_cell=5.59 pbc="T T T"
In 1.415 3.867 3.140
In 4.182 3.846 7.820
In 4.329 6.502 3.150
In 7.096 6.481 7.830
Hg 1.507 6.044 0.721
Hg 2.771 1.714 5.451
Hg 4.160 5.981 10.251
Hg 4.350 4.367 0.718
Hg 5.739 8.634 5.519
Hg 7.003 4.304 10.248
Au 2.814 8.611 9.273
Au 1.473 6.838 3.519
Au 2.827 5.135 5.504
Au 4.246 6.829 7.452
Au 2.839 1.678 1.692
Au 5.672 8.670 9.277
Au 4.265 3.518 3.517
Au 5.684 5.213 5.466
Au 7.038 3.510 7.451
Au 5.697 1.737 1.696

---

11.
4
Lattice="-1.492 2.443 5.952 1.492 -2.443 5.952 1.492 2.443 -5.952" Properties=species:S:1:pos:R:3 comment="InHgAu2 (PBE, optimized geometry)" delta_e_f_mev_per_atom=-33.9 sg="No. 44" final_energy_ev_per_fu=-9.73 n_ef_per_ev_cell=1.20 pbc="T T T"
In 0.000 0.000 0.000
Hg 0.000 2.443 2.600
Au 1.492 0.000 2.634
Au 0.000 0.000 5.274

---

12.
4
Lattice="2.393 1.381 5.157 -2.393 1.381 5.157 0.000 -2.763 5.157" Properties=species:S:1:pos:R:3 comment="InHg2Au (PBE, optimized geometry)" delta_e_f_mev_per_atom=33.5 sg="No. 160" final_energy_ev_per_fu=-6.49 n_ef_per_ev_cell=1.45 pbc="T T T"
In 0.000 0.000 0.000
Hg 0.000 0.000 8.927
Hg 0.000 0.000 12.065
Au 0.000 0.000 2.899

---

13.
3
Lattice="-1.715 1.715 5.929 1.715 -1.715 5.929 1.715 1.715 -5.929" Properties=species:S:1:pos:R:3 comment="InHgAu (PBE, optimized geometry)" delta_e_f_mev_per_atom=-10.7 sg="No. 107" final_energy_ev_per_fu=-6.35 n_ef_per_ev_cell=0.92 pbc="T T T"
In 0.000 0.000 0.000
Hg 0.000 0.000 3.630
Au 0.000 0.000 7.643

---

14.
4
Lattice="2.586 -2.843 0.000 2.586 2.843 0.000 0.000 0.000 5.788" Properties=species:S:1:pos:R:3 comment="InHgAu2 (PBE, optimized geometry)" delta_e_f_mev_per_atom=-25.3 sg="No. 65" final_energy_ev_per_fu=-9.70 n_ef_per_ev_cell=1.07 pbc="T T T"
In 0.000 0.000 0.000
Hg 0.000 0.000 2.894
Au 2.586 0.000 1.434
Au 2.586 0.000 4.354

---

15.
15
Lattice="-5.445 5.445 3.547 5.445 -5.445 3.547 5.445 5.445 -3.547" Properties=species:S:1:pos:R:3 comment="In10Hg4Au (PBE, optimized geometry)" delta_e_f_mev_per_atom=-20.2 sg="No. 87" final_energy_ev_per_fu=-32.17 n_ef_per_ev_cell=5.18 pbc="T T T"
In 4.378 3.316 -1.851
In 2.129 -1.067 1.696
In 5.445 0.000 1.773
In 3.316 6.512 -1.851
In 1.067 2.129 1.696
In 4.378 3.316 1.851
In 2.129 -1.067 5.398
In 0.000 5.445 1.773
In 3.316 6.512 1.851
In 1.067 2.129 5.398
Hg 6.512 2.227 0.000
Hg 2.227 4.377 0.000
Hg 3.218 1.067 3.547
Hg -1.067 3.218 3.547
Au 0.000 0.000 0.000

---

16.
8
Lattice="-4.002 4.002 2.833 4.002 -4.002 2.833 4.002 4.002 -2.833" Properties=species:S:1:pos:R:3 comment="InHgAu2 (PBE, optimized geometry)" delta_e_f_mev_per_atom=15.2 sg="No. 122" final_energy_ev_per_fu=-9.53 n_ef_per_ev_cell=2.48 pbc="T T T"
In 0.000 0.000 0.000
In 0.000 4.002 1.416
Hg 4.002 0.000 1.416
Hg 0.000 0.000 2.833
Au 6.002 1.937 -0.708
Au 1.937 2.001 0.708
Au -2.001 2.064 2.124
Au 2.064 2.001 3.541

---

17.
4
Lattice="3.253 0.000 0.000 0.000 3.804 0.000 0.000 0.000 7.785" Properties=species:S:1:pos:R:3 comment="InHg2Au (PBE, optimized geometry)" delta_e_f_mev_per_atom=6.5 sg="No. 25" final_energy_ev_per_fu=-6.59 n_ef_per_ev_cell=1.34 pbc="T T T"
In 0.000 0.000 0.000
Hg 0.000 0.000 3.435
Hg 1.627 1.902 5.541
Au 1.627 1.902 1.581

---

18.
12
Lattice="5.570 0.000 0.000 0.198 6.584 0.000 0.166 3.197 7.302" Properties=species:S:1:pos:R:3 comment="InHg2Au3 (PBE, optimized geometry)" delta_e_f_mev_per_atom=-54.9 sg="No. 2" final_energy_ev_per_fu=-13.50 n_ef_per_ev_cell=2.50 pbc="T T T"
In 1.144 1.589 0.024
In 4.789 8.193 7.278
Hg 1.667 7.284 4.474
Hg 1.593 4.002 2.849
Hg 4.341 5.779 4.453
Hg 4.267 2.497 2.828
Au 0.230 6.530 2.084
Au 1.811 4.343 0.012
Au 2.924 3.211 5.450
Au 3.010 6.571 1.852
Au 4.122 5.438 7.290
Au 5.704 3.251 5.219

---

19.
11
Lattice="4.981 0.000 0.000 0.000 4.981 0.000 0.000 0.000 11.817" Properties=species:S:1:pos:R:3 comment="In2Hg8Au (PBE, optimized geometry)" delta_e_f_mev_per_atom=5.0 sg="No. 123" final_energy_ev_per_fu=-11.11 n_ef_per_ev_cell=1.06 pbc="T T T"
In 0.000 0.000 2.298
In 0.000 0.000 9.520
Hg 0.000 2.491 0.000
Hg 0.000 2.491 4.320
Hg 0.000 2.491 7.498
Hg 2.491 0.000 0.000
Hg 2.491 0.000 4.320
Hg 2.491 0.000 7.498
Hg 2.491 2.491 2.127
Hg 2.491 2.491 9.691
Au 0.000 0.000 5.909

---

20.
4
Lattice="3.291 -1.867 0.000 3.291 1.867 0.000 -2.095 0.000 7.520" Properties=species:S:1:pos:R:3 comment="InHgAu2 (PBE, optimized geometry)" delta_e_f_mev_per_atom=-42.9 sg="No. 12" final_energy_ev_per_fu=-9.77 n_ef_per_ev_cell=0.95 pbc="T T T"
In 0.000 0.000 0.000
Hg 2.244 0.000 3.760
Au 0.080 0.000 5.703
Au 4.408 0.000 1.817

---

21.
4
Lattice="0.000 3.454 3.454 3.454 0.000 3.454 3.454 3.454 0.000" Properties=species:S:1:pos:R:3 comment="InHgAu2 (PBE, optimized geometry)" delta_e_f_mev_per_atom=16.5 sg="No. 225" final_energy_ev_per_fu=-9.53 n_ef_per_ev_cell=1.32 pbc="T T T"
In 0.000 0.000 0.000
Hg 3.454 3.454 3.454
Au 1.727 1.727 1.727
Au 5.181 5.181 5.181

---

22.
4
Lattice="2.849 -4.040 0.000 2.849 4.040 0.000 0.000 0.000 4.077" Properties=species:S:1:pos:R:3 comment="InHg2Au (PBE, optimized geometry)" delta_e_f_mev_per_atom=35.8 sg="No. 65" final_energy_ev_per_fu=-6.48 n_ef_per_ev_cell=0.79 pbc="T T T"
In 0.000 0.000 0.000
Hg 1.424 2.020 2.039
Hg 1.424 -2.020 2.039
Au 2.849 0.000 0.000